# 1
Below is a relaxed As2WBr crystal, with properties calculated at the PBE level.

Computed properties:
The space group is R3m (160). For the formation energy from raw total energies, the calculation gives 0.337 eV per atom. The calculation puts the excess energy over the best structure of this formula in the dataset at 0.2527 eV/atom.

abc: 9.413 9.413 9.413
angles: 19.61 19.61 19.61
Fractional positions:
As1 0.000 0.000 0.000
As2 0.259 0.259 0.259
W1 0.731 0.731 0.731
Br1 0.468 0.468 0.468

---

# 2
Below is a relaxed Tc2OsRu crystal, with properties calculated at the PBE level.

Computed properties:
The space group is Pmm2 (25). The calculation puts the formation energy at -77 meV per atom. The calculation puts the excess energy over the best structure of this formula in the dataset at 0.0000 eV/atom.

abc: 2.750 4.353 4.774
angles: 90.00 90.00 90.00
Fractional positions:
Tc1 0.000 0.000 0.000
Tc2 0.000 0.500 0.331
Os1 0.500 0.500 0.832
Ru1 0.500 0.000 0.495

---

# 3
Below is a relaxed InAsRuCl crystal, with properties calculated at the PBE level.

Computed properties:
The space group is P3m1 (156). For the formation energy from raw total energies, the calculation gives -0.158 eV per atom. The calculation puts the excess energy over the best structure of this formula in the dataset at 0.1512 eV/atom.

abc: 3.708 3.708 8.067
angles: 90.00 90.00 120.00
Fractional positions:
In1 0.000 0.000 0.000
As1 0.667 0.333 0.678
Ru1 0.333 0.667 0.556
Cl1 0.333 0.667 0.261

---

# 4
Below is a relaxed Rb3ClF2 crystal, with properties calculated at the PBE level.

Computed properties:
The space group is Immm (71). For the formation energy from raw total energies, the calculation gives -2.383 eV per atom. The calculation puts the excess energy over the best structure of this formula in the dataset at 0.0167 eV/atom.

abc: 7.473 7.473 7.473
angles: 147.58 130.25 60.64
Fractional positions:
Rb1 0.000 0.000 0.000
Rb2 0.307 0.307 0.000
Rb3 0.693 0.693 0.000
Cl1 0.500 0.000 0.500
F1 0.166 0.666 0.500
F2 0.834 0.334 0.500

---

# 5
Below is a relaxed CaZrRuO6 crystal, with properties calculated at the PBE level.

Computed properties:
The space group is P-31c (163). For the formation energy from raw total energies, the calculation gives -2.093 eV per atom.

abc: 5.361 5.361 9.959
angles: 90.00 90.00 120.00
Fractional positions:
Ca1 0.000 0.000 0.000
Ca2 0.000 0.000 0.500
Zr1 0.333 0.667 0.250
Zr2 0.667 0.333 0.750
Ru1 0.333 0.667 0.750
Ru2 0.667 0.333 0.250
O1 0.024 0.375 0.641
O2 0.024 0.649 0.859
O3 0.351 0.375 0.859
O4 0.351 0.976 0.641
O5 0.375 0.024 0.141
O6 0.375 0.351 0.359
O7 0.625 0.649 0.641
O8 0.625 0.976 0.859
O9 0.649 0.024 0.359
O10 0.649 0.625 0.141
O11 0.976 0.351 0.141
O12 0.976 0.625 0.359

---

# 6
Below is a relaxed YMn2I crystal, with properties calculated at the PBE level.

Computed properties:
The space group is Fm-3m (225). For the formation energy from raw total energies, the calculation gives 0.826 eV per atom. The calculation puts the excess energy over the best structure of this formula in the dataset at 0.3753 eV/atom.

abc: 4.558 4.558 4.558
angles: 60.00 60.00 60.00
Fractional positions:
Y1 0.000 0.000 0.000
Mn1 0.250 0.250 0.250
Mn2 0.750 0.750 0.750
I1 0.500 0.500 0.500

---

# 7
Below is a relaxed MgTi2Sb2 crystal, with properties calculated at the PBE level.

Computed properties:
The space group is P4/mbm (127). For the formation energy from raw total energies, the calculation gives -0.314 eV per atom. The calculation puts the excess energy over the best structure of this formula in the dataset at 0.0000 eV/atom.

abc: 7.668 7.668 3.575
angles: 90.00 90.00 90.00
Fractional positions:
Mg1 0.000 0.000 0.000
Mg2 0.500 0.500 0.000
Ti1 0.134 0.366 0.500
Ti2 0.366 0.866 0.500
Ti3 0.634 0.134 0.500
Ti4 0.866 0.634 0.500
Sb1 0.155 0.655 0.000
Sb2 0.345 0.155 0.000
Sb3 0.655 0.845 0.000
Sb4 0.845 0.345 0.000

---

# 8
Below is a relaxed CdTeAs2 crystal, with properties calculated at the PBE level.

Computed properties:
The space group is Cm (8). For the formation energy from raw total energies, the calculation gives -0.056 eV per atom. The calculation puts the excess energy over the best structure of this formula in the dataset at 0.0000 eV/atom.

abc: 4.187 4.187 7.321
angles: 90.06 90.06 60.01
Fractional positions:
Cd1 0.000 0.000 0.000
Te1 0.667 0.667 0.206
As1 0.001 0.001 0.639
As2 0.334 0.334 0.490

---

# 9
Below is a relaxed Cs2TaNb3O12 crystal, with properties calculated at the PBE level.

Computed properties:
The space group is R-3m (166). For the formation energy from raw total energies, the calculation gives -2.336 eV per atom.

abc: 7.552 7.552 7.552
angles: 60.14 60.14 60.14
Fractional positions:
Cs1 0.125 0.125 0.125
Cs2 0.875 0.875 0.875
Ta1 0.500 0.500 0.500
Nb1 0.000 0.500 0.500
Nb2 0.500 0.000 0.500
Nb3 0.500 0.500 0.000
O1 0.188 0.188 0.561
O2 0.188 0.561 0.188
O3 0.190 0.561 0.561
O4 0.439 0.439 0.810
O5 0.439 0.810 0.439
O6 0.439 0.812 0.812
O7 0.561 0.188 0.188
O8 0.561 0.190 0.561
O9 0.561 0.561 0.190
O10 0.810 0.439 0.439
O11 0.812 0.439 0.812
O12 0.812 0.812 0.439

---

# 10
Below is a relaxed CoSiBRu crystal, with properties calculated at the PBE level.

Computed properties:
The space group is F-43m (216). For the formation energy from raw total energies, the calculation gives -0.144 eV per atom.

abc: 3.891 3.891 3.891
angles: 60.00 60.00 60.00
Fractional positions:
Co1 0.000 0.000 0.000
Si1 0.250 0.250 0.250
B1 0.750 0.750 0.750
Ru1 0.500 0.500 0.500

---

# 11
Below is a relaxed La4Bi2AsSe crystal, with properties calculated at the PBE level.

Computed properties:
The space group is P2/m (10). For the formation energy from raw total energies, the calculation gives -1.419 eV per atom.

abc: 7.824 4.520 7.853
angles: 90.00 109.36 90.00
Fractional positions:
La1 0.240 0.000 0.231
La2 0.251 0.500 0.766
La3 0.749 0.500 0.234
La4 0.760 0.000 0.769
Bi1 0.000 0.000 0.500
Bi2 0.500 0.500 0.500
As1 0.000 0.500 0.000
Se1 0.500 0.000 0.000

---

# 12
Below is a relaxed MgPaNiRh crystal, with properties calculated at the PBE level.

Computed properties:
The space group is F-43m (216). The calculation puts the formation energy at -416 meV per atom.

abc: 4.664 4.664 4.664
angles: 60.00 60.00 60.00
Fractional positions:
Mg1 0.000 0.000 0.000
Pa1 0.500 0.500 0.500
Ni1 0.250 0.250 0.250
Rh1 0.750 0.750 0.750

---

# 13
Below is a relaxed Ce5InAu3 crystal, with properties calculated at the PBE level.

Computed properties:
The space group is P6_3/mcm (193). The calculation puts the formation energy at -414 meV per atom.

abc: 9.235 9.235 6.248
angles: 90.00 90.00 120.00
Fractional positions:
Ce1 0.000 0.325 0.250
Ce2 0.000 0.675 0.750
Ce3 0.325 0.000 0.250
Ce4 0.325 0.325 0.750
Ce5 0.333 0.667 0.000
Ce6 0.333 0.667 0.500
Ce7 0.667 0.333 0.000
Ce8 0.667 0.333 0.500
Ce9 0.675 0.000 0.750
Ce10 0.675 0.675 0.250
In1 0.000 0.000 0.000
In2 0.000 0.000 0.500
Au1 0.000 0.340 0.750
Au2 0.000 0.660 0.250
Au3 0.340 0.000 0.750
Au4 0.340 0.340 0.250
Au5 0.660 0.000 0.250
Au6 0.660 0.660 0.750

---

# 14
Below is a relaxed V4Ga2Ir crystal, with properties calculated at the PBE level.

Computed properties:
The space group is I4/mmm (139). The calculation puts the formation energy at 737 meV per atom.

abc: 7.309 7.309 7.309
angles: 143.07 143.07 53.23
Fractional positions:
V1 0.000 0.500 0.500
V2 0.184 0.184 0.000
V3 0.500 0.000 0.500
V4 0.816 0.816 0.000
Ga1 0.381 0.381 0.000
Ga2 0.619 0.619 0.000
Ir1 0.000 0.000 0.000

---

# 15
Below is a relaxed CsPdIN2 crystal, with properties calculated at the PBE level.

Computed properties:
The space group is P4/mmm (123). For the formation energy from raw total energies, the calculation gives 2.219 eV per atom. The calculation puts the excess energy over the best structure of this formula in the dataset at 1.0249 eV/atom.

abc: 4.419 4.419 7.791
angles: 90.00 90.00 90.00
Fractional positions:
Cs1 0.000 0.000 0.000
Pd1 0.500 0.500 0.500
I1 0.000 0.000 0.500
N1 0.000 0.500 0.000
N2 0.500 0.000 0.000